[1]
First-principles (PBE) data for crystalline Dy5In2Sn at its relaxed geometry, as listed in the Alexandria database.

The calculation puts the total magnetization at 0.00 μB/cell. The total DFT energy (no corrections) comes out at -4.526 eV per atom. As for the energy relative to the elements: -465 meV/atom.

It has space group I4/mcm (No. 140), with a = 8.3372 Å, b = 8.3372 Å, c = 13.1075 Å, α = 90.00°, β = 90.00° and γ = 90.00°. The asymmetric unit holds Dy at (0.0000, 0.0000, 0.0000), Dy at (0.1569, 0.3431, 0.1517), In at (0.1398, 0.3602, 0.5000) and Sn at (0.0000, 0.0000, 0.2500).

[2]
First-principles (PBE) data for crystalline Dy2InSn at its relaxed geometry, as listed in the Alexandria database.

The calculation puts the total magnetization at 0.00 μB/cell. The total DFT energy (no corrections) comes out at -4.503 eV per atom. As for the energy relative to the elements: -517 meV/atom.

It has space group P4/mmm (No. 123), with a = 3.9343 Å, b = 3.9343 Å, c = 6.9010 Å, α = 90.00°, β = 90.00° and γ = 90.00°. The asymmetric unit holds Dy at (0.0000, 0.0000, 0.2461), In at (0.5000, 0.5000, 0.5000) and Sn at (0.5000, 0.5000, 0.0000).

[3]
First-principles (PBE) data for crystalline Dy5In3Sn at its relaxed geometry, as listed in the Alexandria database.

The calculation puts the total magnetization at 0.00 μB/cell. The total DFT energy (no corrections) comes out at -4.387 eV per atom. As for the energy relative to the elements: -472 meV/atom.

It has space group P6_3/mcm (No. 193), with a = 9.3784 Å, b = 9.3784 Å, c = 6.5760 Å, α = 90.00°, β = 90.00° and γ = 120.00°. The asymmetric unit holds Dy at (0.0000, 0.2793, 0.2500), Dy at (0.3333, 0.6667, 0.0000), In at (0.0000, 0.3821, 0.7500) and Sn at (0.0000, 0.0000, 0.0000).